! Pr6TmSn10 (PBE, relaxed); values from VASP
&SYSTEM
  ibrav = 0, nat = 17, ntyp = 3
/
ATOMIC_SPECIES
Pr 140.91 Pr.upf
Tm 168.93 Tm.upf
Sn 118.71 Sn.upf
CELL_PARAMETERS angstrom
6.442 0.000 0.000
0.000 8.192 -4.730
0.000 0.000 9.459
ATOMIC_POSITIONS angstrom
Pr 4.728 3.202 1.849
Pr 4.728 0.000 5.761
Pr 4.728 4.990 -2.881
Pr 1.714 4.990 2.881
Pr 1.714 0.000 3.698
Pr 1.714 3.202 -1.849
Tm 3.221 0.000 0.000
Sn 5.251 6.177 3.566
Sn 5.251 0.000 2.327
Sn 5.251 2.015 -1.163
Sn 1.190 2.015 1.163
Sn 1.190 0.000 7.133
Sn 1.190 6.177 -3.566
Sn 3.221 2.731 4.730
Sn 3.221 5.461 0.000
Sn 0.000 5.461 0.000
Sn 0.000 2.731 4.730
! Crystal system = trigonal
! Density of states at the Fermi level = 0.673 states/eV per atom
! DFT total energy = -82.8 eV/f.u.
! ΔH_f (0 K) = -565 meV per atom